No. 1
# CaTlAu2, optimized geometry, DFT PBE-GGA
data_CaTlAu2
_cell_length_a 4.8102
_cell_length_b 4.8102
_cell_length_c 4.0305
_cell_angle_alpha 90.00
_cell_angle_beta 90.00
_cell_angle_gamma 90.00
_symmetry_space_group_name_H-M 'P 4/m m m'
_symmetry_Int_Tables_number 123
_symmetry_space_group_name_Hall '-P 4 2'
loop_
_atom_site_label
_atom_site_type_symbol
_atom_site_fract_x
_atom_site_fract_y
_atom_site_fract_z
_atom_site_occupancy
Ca1 Ca 0.0000 0.0000 0.0000 1
Tl1 Tl 0.5000 0.5000 0.0000 1
Au1 Au 0.0000 0.5000 0.5000 1
# density of states at the Fermi level = 1.2 states/eV/cell
# E_form = -0.451 eV per atom
# magnetization = 0.00 μB per formula unit

=====

No. 2
# Ga2Si2Ge, optimized geometry, DFT PBE-GGA
data_Ga2Si2Ge
_cell_length_a 7.7536
_cell_length_b 7.7536
_cell_length_c 2.9310
_cell_angle_alpha 90.00
_cell_angle_beta 90.00
_cell_angle_gamma 90.00
_symmetry_space_group_name_H-M 'P 4/m b m'
_symmetry_Int_Tables_number 127
_symmetry_space_group_name_Hall '-P 4 2ab'
loop_
_atom_site_label
_atom_site_type_symbol
_atom_site_fract_x
_atom_site_fract_y
_atom_site_fract_z
_atom_site_occupancy
Ga1 Ga 0.1383 0.3617 0.0000 1
Si1 Si 0.1612 0.6612 0.5000 1
Ge1 Ge 0.0000 0.0000 0.5000 1
# density of states at the Fermi level = 4.6 states/eV/cell
# energy relative to the elements, uncorrected = 0.312 eV/atom
# energy above the lowest structure with this stoichiometry = 37.8 meV/atom
# magnetization = 0.00 μB per formula unit

=====

No. 3
# ThCo2CuH6, optimized geometry, DFT PBE-GGA
data_ThCo2CuH6
_cell_length_a 4.4075
_cell_length_b 4.4075
_cell_length_c 14.6478
_cell_angle_alpha 90.00
_cell_angle_beta 90.00
_cell_angle_gamma 120.00
_symmetry_space_group_name_H-M 'R -3 m'
_symmetry_Int_Tables_number 166
_symmetry_space_group_name_Hall '-R 3 2"'
loop_
_atom_site_label
_atom_site_type_symbol
_atom_site_fract_x
_atom_site_fract_y
_atom_site_fract_z
_atom_site_occupancy
Th1 Th 0.0000 0.0000 0.0000 1
Co1 Co 0.0000 0.0000 0.2061 1
Cu1 Cu 0.0000 0.0000 0.5000 1
H1 H 0.0082 0.5041 0.0708 1
# raw total energy = -143.4 eV/cell
# density of states at the Fermi level = 12.2 states/eV/cell
# magnetization = 0.00 μB per formula unit

=====

No. 4
# CaTa2Hg, optimized geometry, DFT PBE-GGA
data_CaTa2Hg
_cell_length_a 2.9122
_cell_length_b 2.9122
_cell_length_c 10.0578
_cell_angle_alpha 90.00
_cell_angle_beta 90.00
_cell_angle_gamma 90.00
_symmetry_space_group_name_H-M 'P 4/m m m'
_symmetry_Int_Tables_number 123
_symmetry_space_group_name_Hall '-P 4 2'
loop_
_atom_site_label
_atom_site_type_symbol
_atom_site_fract_x
_atom_site_fract_y
_atom_site_fract_z
_atom_site_occupancy
Ca1 Ca 0.0000 0.0000 0.0000 1
Ta1 Ta 0.5000 0.5000 0.2719 1
Hg1 Hg 0.0000 0.0000 0.5000 1
# density of states at the Fermi level = 5.7 states/eV/cell
# E_form = 0.654 eV per atom
# magnetization = 0.00 μB per formula unit

=====

No. 5
# SrSi2Pt, optimized geometry, DFT PBE-GGA
data_SrSi2Pt
_cell_length_a 4.6101
_cell_length_b 6.1779
_cell_length_c 6.8800
_cell_angle_alpha 90.00
_cell_angle_beta 90.00
_cell_angle_gamma 90.00
_symmetry_space_group_name_H-M 'A m m 2'
_symmetry_Int_Tables_number 38
loop_
_symmetry_equiv_pos_as_xyz
'x,y,z'
'-x,-y,z'
'-x,y,z'
'x,-y,z'
'x,y+1/2,z+1/2'
'-x,-y+1/2,z+1/2'
'-x,y+1/2,z+1/2'
'x,-y+1/2,z+1/2'
loop_
_atom_site_label
_atom_site_type_symbol
_atom_site_fract_x
_atom_site_fract_y
_atom_site_fract_z
_atom_site_occupancy
Sr1 Sr 0.0000 0.0000 0.0000 1
Si1 Si 0.5000 0.1795 0.6855 1
Pt1 Pt 0.5000 0.0000 0.3671 1
# density of states at the Fermi level = 2.7 states/eV/cell
# energy relative to the elements, uncorrected = -0.542 eV/atom
# magnetization = 0.00 μB per formula unit

=====

No. 6
# GaFeRu, optimized geometry, DFT PBE-GGA
data_GaFeRu
_cell_length_a 3.0106
_cell_length_b 3.0106
_cell_length_c 8.8125
_cell_angle_alpha 90.00
_cell_angle_beta 90.00
_cell_angle_gamma 90.00
_symmetry_space_group_name_H-M 'I 4 m m'
_symmetry_Int_Tables_number 107
_symmetry_space_group_name_Hall 'I 4 -2'
loop_
_atom_site_label
_atom_site_type_symbol
_atom_site_fract_x
_atom_site_fract_y
_atom_site_fract_z
_atom_site_occupancy
Ga1 Ga 0.0000 0.0000 0.0000 1
Fe1 Fe 0.0000 0.0000 0.3363 1
Ru1 Ru 0.0000 0.0000 0.6740 1
# density of states at the Fermi level = 5.4 states/eV/cell
# E_form = -0.098 eV per atom
# magnetization = 2.90 μB per formula unit

=====

Q: Look up the density of states at the Fermi level of the fifth one.
A: 2.7 states/eV/cell

=====

Q: What is the density of states at the Fermi level in the second record?
A: 4.6 states/eV/cell

=====

Q: The highest density of states at the Fermi level belongs to which entry?
A: ThCo2CuH6